No. 1
ZrTaSi | Alexandria | PBE | optimized geometry; E = -9.12 eV per atom; uncorrected formation energy = -0.51 eV per atom
1.0
4.953 -1.801 0.000
4.953 1.801 0.000
-4.013 0.000 6.057
Zr Ta Si
2 2 2
direct
0.000 0.000 0.000
0.749 0.749 0.413
0.324 0.324 0.120
0.576 0.576 0.714
0.021 0.021 0.401
0.292 0.292 0.725

=====

No. 2
KErRu2O8 | Alexandria | PBE | optimized geometry; E = -6.81 eV per atom; uncorrected formation energy = -1.49 eV per atom
1.0
5.922 0.000 0.000
-2.961 5.129 0.000
0.000 0.000 7.647
K Er Ru O
1 1 2 8
direct
0.000 0.000 0.000
0.000 0.000 0.500
0.333 0.667 0.762
0.667 0.333 0.238
0.150 0.336 0.683
0.185 0.850 0.683
0.333 0.667 0.991
0.336 0.185 0.317
0.664 0.815 0.683
0.667 0.333 0.009
0.815 0.150 0.317
0.850 0.664 0.317